DFT (PBE-GGA) results for crystalline Ba4Th3PaAs8 at its relaxed geometry.

The total magnetic moment comes out at 0.002 μB per formula unit. The formation energy comes out at -1.269 eV/atom.

It has space group R-3m (No. 166, hexagonal axes), with a = 8.7971 Å, b = 8.7971 Å, c = 22.5909 Å, α = 90.00°, β = 90.00° and γ = 120.00°. The distinct sites, in fractional coordinates, are Ba at (0.0000, 0.0000, 0.0000), Ba at (0.0000, 0.5000, 0.0000), Th at (0.0000, 0.5000, 0.5000), Pa at (0.0000, 0.0000, 0.5000), As at (0.0000, 0.0000, 0.2376) and As at (0.0109, 0.5055, 0.2358).